No. 1
LuHfAl PBE relaxed; spin magnetization = 0.00 μB/f.u.; symmetry = P3m1, No. 156; offset from the most stable computed form = 0.164 eV/atom; formation energy = -55 meV per atom
1.0
-0.688 -2.571 -2.031
-1.603 -2.561 3.785
-3.061 2.796 -2.503
Lu Hf Al
1 1 1
Direct
0.970 0.000 0.000
0.428 0.333 0.667
0.601 0.667 0.333

---

No. 2
Zr3Ag PBE relaxed; spin magnetization = 0.00 μB/f.u.; symmetry = Fm-3m, No. 225; formation energy = 108 meV per atom
1.0
-1.460 3.563 3.080
-4.463 -0.220 2.085
-0.425 -0.932 4.823
Ag Zr
1 3
Direct
0.000 0.000 0.000
0.250 0.250 0.250
0.500 0.500 0.500
0.750 0.750 0.750